Computed, not measured: crystalline Li2Mg6Rh at its relaxed geometry at the PBE-GGA level of DFT.

Summary:
- crystal system = hexagonal
- N(E_F) (states/eV per cell) = 2.48
- electronic total energy (eV per formula unit) = -22.07
- V (Å³/f.u.) = 179

Unit cell a=8.1796 b=8.1796 c=3.0907 alpha=90.00 beta=90.00 gamma=120.00
Space group P-62m (No. 189)
Symmetry-distinct sites (fractional):
Li (0.3333, 0.6667, 0.0000)
Mg (0.0000, 0.3621, 0.5000)
Mg (0.0000, 0.7284, 0.0000)
Rh (0.0000, 0.0000, 0.5000)

---

Computed, not measured: crystalline SmY12In3 at its relaxed geometry at the PBE-GGA level of DFT.

Summary:
- crystal system = tetragonal
- N(E_F) (states/eV per cell) = 21.50
- electronic total energy (eV per formula unit) = -93.61
- V (Å³/f.u.) = 476

Unit cell a=4.8827 b=4.8827 c=19.9634 alpha=90.00 beta=90.00 gamma=90.00
Space group P4/mmm (No. 123)
Symmetry-distinct sites (fractional):
Sm (0.0000, 0.0000, 0.0000)
Y (0.0000, 0.5000, 0.1324)
Y (0.0000, 0.5000, 0.3778)
Y (0.5000, 0.5000, 0.0000)
Y (0.5000, 0.5000, 0.2566)
Y (0.5000, 0.5000, 0.5000)
In (0.0000, 0.0000, 0.2570)
In (0.0000, 0.0000, 0.5000)